{
  "formula": "LaYRu2",
  "functional": "PBE",
  "state": "relaxed",
  "ef_ev_per_atom": 0.208,
  "magnetic_moment_mub_per_fu": 1.02,
  "dos_ef_per_ev_cell": 5.811,
  "cell": [[4.850, 0.000, 0.000], [2.425, 4.200, 0.000], [2.425, 1.400, 3.960]],
  "species": ["La", "Ru", "Ru", "Y"],
  "fractional_positions": [[0.500, 0.500, 0.500], [0.000, 0.000, 0.000], [0.750, 0.750, 0.750], [0.250, 0.250, 0.250]]
}


{
  "formula": "Rb2BaU3S8",
  "functional": "PBE",
  "state": "relaxed",
  "e_form_raw_ev_per_atom": -1.4394,
  "magnetic_moment_mub_per_fu": 6.00,
  "dos_ef_per_ev_cell": 13.123,
  "cell": [[-8.096, -0.896, 1.594], [-5.418, -0.623, -6.257], [-3.651, -8.171, -1.530]],
  "species": ["Rb", "Rb", "Ba", "U", "U", "U", "S", "S", "S", "S", "S", "S", "S", "S"],
  "fractional_positions": [[0.132, 0.132, 0.605], [0.498, 0.498, 0.507], [0.875, 0.875, 0.375], [0.499, 0.002, 0.001], [0.002, 0.499, 0.001], [0.499, 0.499, 0.001], [0.272, 0.272, 0.184], [0.731, 0.731, 0.808], [0.242, 0.242, 0.824], [0.691, 0.242, 0.824], [0.242, 0.691, 0.824], [0.754, 0.303, 0.189], [0.303, 0.754, 0.189], [0.754, 0.754, 0.189]]
}


{
  "formula": "CaAc2Ni3H12",
  "functional": "PBE",
  "state": "relaxed",
  "energy_ry_per_atom": -0.298,
  "magnetic_moment_mub_per_fu": 0.00,
  "dos_ef_per_ev_cell": 5.871,
  "cell": [[6.335, 0.068, 0.049], [3.188, 5.475, 0.049], [3.188, 1.856, 5.151]],
  "species": ["Ca", "Ac", "Ac", "Ni", "Ni", "Ni", "H", "H", "H", "H", "H", "H", "H", "H", "H", "H", "H", "H"],
  "fractional_positions": [[0.000, 0.000, 0.000], [0.607, 0.607, 0.607], [0.393, 0.393, 0.393], [0.500, 0.000, 0.000], [0.000, 0.500, 0.000], [0.000, 0.000, 0.500], [0.289, 0.289, 0.888], [0.876, 0.876, 0.432], [0.432, 0.876, 0.876], [0.888, 0.289, 0.289], [0.876, 0.432, 0.876], [0.289, 0.888, 0.289], [0.711, 0.711, 0.112], [0.124, 0.124, 0.568], [0.568, 0.124, 0.124], [0.112, 0.711, 0.711], [0.124, 0.568, 0.124], [0.711, 0.112, 0.711]]
}


{
  "formula": "LaOs2Ru",
  "functional": "PBE",
  "state": "relaxed",
  "ef_ev_per_atom": 0.703,
  "de_polymorph_ev_per_fu": 1.52,
  "magnetic_moment_mub_per_fu": 0.00,
  "dos_ef_per_ev_cell": 14.010,
  "cell": [[-0.992, 4.547, -6.444], [-5.993, -4.656, -2.363], [-5.121, 1.395, -3.130]],
  "species": ["Ru", "Ru", "Os", "Os", "Os", "Os", "La", "La"],
  "fractional_positions": [[0.500, 0.500, 0.000], [0.250, 0.750, 0.500], [0.571, 0.125, 0.250], [0.179, 0.625, 0.250], [0.375, 0.429, 0.750], [0.875, 0.821, 0.750], [0.000, 0.000, 0.000], [0.750, 0.250, 0.500]]
}


{
  "formula": "K2In3GaSn4",
  "functional": "PBE",
  "state": "relaxed",
  "ef_ev_per_atom": -0.149,
  "magnetic_moment_mub_per_fu": 0.00,
  "dos_ef_per_ev_cell": 4.059,
  "cell": [[-2.350, 2.870, -3.573], [3.493, -1.478, -3.484], [-6.829, -9.238, -2.928]],
  "species": ["K", "K", "In", "In", "In", "Ga", "Sn", "Sn", "Sn", "Sn"],
  "fractional_positions": [[0.500, 0.000, 0.254], [0.000, 0.500, 0.746], [0.000, 0.000, 0.500], [0.500, 0.000, 0.867], [0.000, 0.500, 0.133], [0.500, 0.500, 0.500], [0.500, 0.500, 0.000], [0.000, 0.000, 0.000], [0.500, 0.000, 0.623], [0.000, 0.500, 0.377]]
}


{
  "formula": "LiPm2Ge2",
  "functional": "PBE",
  "state": "relaxed",
  "ef_ev_per_atom": -0.674,
  "de_polymorph_ev_per_fu": 0.21,
  "magnetic_moment_mub_per_fu": 0.00,
  "dos_ef_per_ev_cell": 3.779,
  "cell": [[4.049, 0.000, 1.725], [1.301, 4.998, 2.560], [-0.063, -0.157, 5.762]],
  "species": ["Li", "Pm", "Pm", "Ge", "Ge"],
  "fractional_positions": [[0.500, 0.500, 0.000], [0.711, 0.789, 0.289], [0.289, 0.211, 0.711], [0.000, 0.210, 0.290], [0.000, 0.790, 0.710]]
}


{
  "formula": "AcMgCuHg",
  "functional": "PBE",
  "state": "relaxed",
  "ef_ev_per_atom": -0.216,
  "magnetic_moment_mub_per_fu": 0.00,
  "dos_ef_per_ev_cell": 3.212,
  "cell": [[-3.444, -3.779, 1.131], [-2.222, -2.758, -3.858], [1.297, -5.024, -0.711]],
  "species": ["Mg", "Ac", "Hg", "Cu"],
  "fractional_positions": [[0.250, 0.250, 0.250], [0.750, 0.750, 0.750], [0.500, 0.500, 0.500], [0.000, 0.000, 0.000]]
}


{
  "formula": "Ca4AgPd2",
  "functional": "PBE",
  "state": "relaxed",
  "ef_ev_per_atom": -0.502,
  "de_polymorph_ev_per_fu": 0.00,
  "magnetic_moment_mub_per_fu": 0.00,
  "dos_ef_per_ev_cell": 6.299,
  "cell": [[-4.252, 1.958, -5.693], [4.205, -1.060, -5.960], [-2.490, -7.166, 2.124]],
  "species": ["Ca", "Ca", "Ca", "Ca", "Ca", "Ca", "Ca", "Ca", "Pd", "Pd", "Pd", "Pd", "Ag", "Ag"],
  "fractional_positions": [[0.124, 0.123, 0.834], [0.615, 0.615, 0.342], [0.126, 0.126, 0.343], [0.625, 0.152, 0.973], [0.151, 0.625, 0.973], [0.612, 0.612, 0.824], [0.159, 0.637, 0.475], [0.637, 0.159, 0.475], [0.338, 0.338, 0.698], [0.337, 0.337, 0.194], [0.926, 0.428, 0.615], [0.428, 0.926, 0.615], [0.833, 0.833, 0.191], [0.838, 0.838, 0.699]]
}


{
  "formula": "TlGaBr2",
  "functional": "PBE",
  "state": "relaxed",
  "e_form_raw_ev_per_atom": -0.6226,
  "de_polymorph_ev_per_fu": 0.27,
  "magnetic_moment_mub_per_fu": 0.00,
  "dos_ef_per_ev_cell": 0.000,
  "cell": [[3.942, 0.000, 0.000], [0.000, 5.565, 0.000], [0.000, 0.000, 5.565]],
  "species": ["Tl", "Ga", "Br", "Br"],
  "fractional_positions": [[0.500, 0.500, 0.500], [0.500, 0.000, 0.000], [0.000, 0.000, 0.500], [0.000, 0.500, 0.000]]
}


{
  "formula": "ZrPb2O2",
  "functional": "PBE",
  "state": "relaxed",
  "e_form_raw_ev_per_atom": 0.2308,
  "de_polymorph_ev_per_fu": 7.92,
  "magnetic_moment_mub_per_fu": 0.00,
  "dos_ef_per_ev_cell": 3.012,
  "cell": [[4.076, 0.000, 0.000], [0.000, 4.076, 0.000], [2.038, 2.038, 5.948]],
  "species": ["Pb", "Pb", "O", "O", "Zr"],
  "fractional_positions": [[0.750, 0.250, 0.500], [0.250, 0.750, 0.500], [0.395, 0.395, 0.209], [0.605, 0.605, 0.791], [0.000, 0.000, 0.000]]
}


{
  "formula": "VCr2HRu",
  "functional": "PBE",
  "state": "relaxed",
  "de_polymorph_ev_per_fu": 0.17,
  "magnetic_moment_mub_per_fu": 0.00,
  "dos_ef_per_ev_cell": 6.822,
  "cell": [[-0.687, -3.642, 0.046], [3.641, -0.688, -0.099], [0.111, 0.029, 3.887]],
  "species": ["Ru", "V", "H", "Cr", "Cr"],
  "fractional_positions": [[0.000, 0.000, 0.500], [0.500, 0.500, 0.500], [0.000, 0.000, 0.000], [0.000, 0.500, 0.000], [0.500, 0.000, 0.000]]
}


{
  "formula": "NaVP2",
  "functional": "PBE",
  "state": "relaxed",
  "ef_ev_per_atom": -0.117,
  "de_polymorph_ev_per_fu": 1.12,
  "magnetic_moment_mub_per_fu": 0.00,
  "dos_ef_per_ev_cell": 0.069,
  "cell": [[-2.318, 4.458, 3.649], [-4.857, 0.603, -3.822], [-6.208, -1.090, 2.671]],
  "species": ["P", "P", "P", "P", "V", "V", "Na", "Na"],
  "fractional_positions": [[0.720, 0.125, 0.250], [0.030, 0.625, 0.250], [0.375, 0.280, 0.750], [0.875, 0.970, 0.750], [0.000, 0.000, 0.000], [0.750, 0.250, 0.500], [0.500, 0.500, 0.000], [0.250, 0.750, 0.500]]
}